The following is a GGA-PBE calculation of crystalline V4CoMo3 at its relaxed geometry, from Alexandria.

POSCAR file:
```
V4CoMo3
1.0
3.051 0.000 0.000
0.000 3.051 0.000
0.000 0.000 12.011
V Mo Co
4 3 1
Cartesian
0.000 0.000 10.596
0.000 0.000 7.563
0.000 0.000 1.415
0.000 0.000 4.448
1.525 1.525 9.102
1.525 1.525 2.909
1.525 1.525 6.006
1.525 1.525 0.000
```

Calculated values
Spin magnetization (Bohr magnetons per cell): 1.01
Raw total energy (eV per atom): -9.609
D(E_F) (states/eV/cell): 7.381
ρ (g cm⁻³): 8.18
Crystal system: tetragonal
Energy relative to the elements (eV per atom): -0.10
V (Å³ per atom): 14.0

---

The following is a GGA-PBE calculation of crystalline VCoMoW at its relaxed geometry, from Alexandria.

POSCAR file:
```
VCoMoW
1.0
4.313 0.000 0.000
2.157 3.736 0.000
2.157 1.245 3.522
Mo V W Co
1 1 1 1
Cartesian
6.470 3.736 2.641
4.313 2.490 1.761
0.000 0.000 0.000
2.157 1.245 0.880
```

Calculated values
Spin magnetization (Bohr magnetons per cell): 1.73
Raw total energy (eV per atom): -9.951
D(E_F) (states/eV/cell): 3.608
ρ (g cm⁻³): 11.40
Crystal system: cubic
Energy relative to the elements (eV per atom): 0.05
V (Å³ per atom): 14.2

---

The following is a GGA-PBE calculation of crystalline ZrVCoMo at its relaxed geometry, from Alexandria.

POSCAR file:
```
ZrVCoMo
1.0
-4.112 -0.699 -1.456
-1.018 -3.805 -2.001
-2.594 -2.941 2.035
Mo Zr Co V
1 1 1 1
Cartesian
-3.862 -3.723 -0.712
-1.931 -1.861 -0.356
0.000 0.000 0.000
-5.793 -5.584 -1.068
```

Calculated values
Spin magnetization (Bohr magnetons per cell): 0.29
Raw total energy (eV per atom): -8.944
D(E_F) (states/eV/cell): 2.318
ρ (g cm⁻³): 8.09
Crystal system: cubic
Energy relative to the elements (eV per atom): -0.04
V (Å³ per atom): 15.2

---

The following is a GGA-PBE calculation of crystalline CoMoW2 at its relaxed geometry, from Alexandria.

POSCAR file:
```
CoMoW2
1.0
4.388 0.000 0.000
0.000 2.686 0.008
0.000 0.866 5.089
Mo W Co
1 2 1
Cartesian
2.194 2.687 3.808
0.000 0.867 5.086
2.194 0.897 1.303
0.000 1.743 2.535
```

Calculated values
Spin magnetization (Bohr magnetons per cell): 1.62
Raw total energy (eV per atom): -10.777
D(E_F) (states/eV/cell): 4.548
ρ (g cm⁻³): 14.47
Crystal system: monoclinic
Energy relative to the elements (eV per atom): 0.18
E above lowest polymorph (eV per atom): 0.109
V (Å³ per atom): 15.0

---

Please write out number 4 again, unchanged.
The following is a GGA-PBE calculation of crystalline CoMoW2 at its relaxed geometry, from Alexandria.

POSCAR file:
```
CoMoW2
1.0
4.388 0.000 0.000
0.000 2.686 0.008
0.000 0.866 5.089
Mo W Co
1 2 1
Cartesian
2.194 2.687 3.808
0.000 0.867 5.086
2.194 0.897 1.303
0.000 1.743 2.535
```

Calculated values
Spin magnetization (Bohr magnetons per cell): 1.62
Raw total energy (eV per atom): -10.777
D(E_F) (states/eV/cell): 4.548
ρ (g cm⁻³): 14.47
Crystal system: monoclinic
Energy relative to the elements (eV per atom): 0.18
E above lowest polymorph (eV per atom): 0.109
V (Å³ per atom): 15.0

---

Question: Which of these has the highest raw total energy?
Answer: ZrVCoMo

---

Question: Look up the D(E_F) of the second one.
Answer: 3.608 states/eV/cell